Here is a relaxed structure of NiIO2 from Alexandria. Energies are from PBE+U.

Lattice parameters (Å, degrees): 6.4389 6.4389 6.4389 28.98 28.98 28.98
Closest atoms and distances in Å follow each position.
Sites, in units of the cell vectors:
I 0.0000 0.0000 0.0000  2 O 2.08
Ni 0.5000 0.5000 0.5000  6 O 2.12
O 0.8878 0.8878 0.8878  1 I 2.08, 3 Ni 2.12
O 0.1122 0.1122 0.1122  1 I 2.08, 3 Ni 2.12

Properties
Symmetry: R-3m (166)
E above lowest polymorph (meV/atom): 0
M_tot (μB/atom): 0.442
Crystal system: trigonal